## LuMgTcMo (PBE-GGA)

Data for an optimized crystal structure of LuMgTcMo.

abc: 4.6855 4.6855 4.6855
angles: 60.00 60.00 60.00
Last column: nearest neighbours and their distance in Å.
Element x y z (fractional)
Lu (0.2500, 0.2500, 0.2500)  4 Mo 2.87, 4 Tc 2.87
Mg (0.7500, 0.7500, 0.7500)  4 Mo 2.87, 4 Tc 2.87
Mo (0.0000, 0.0000, 0.0000)  4 Mg 2.87, 4 Lu 2.87
Tc (0.5000, 0.5000, 0.5000)  4 Mg 2.87, 4 Lu 2.87

Total magnetization ... 0.551 μB/atom
Energy relative to the lowest polymorph listed for this composition ... 0.356 eV/atom

## Li2ScHg (PBE-GGA)

Data for an optimized crystal structure of Li2ScHg.

abc: 4.7226 4.7226 4.7226
angles: 60.00 60.00 60.00
Last column: nearest neighbours and their distance in Å.
Element x y z (fractional)
Hg (0.2500, 0.2500, 0.2500)  4 Sc 2.89, 4 Li 2.89
Li (0.0000, 0.0000, 0.0000)  4 Hg 2.89, 4 Li 2.89
Li (0.7500, 0.7500, 0.7500)  4 Li 2.89, 4 Sc 2.89
Sc (0.5000, 0.5000, 0.5000)  4 Hg 2.89, 4 Li 2.89

Total magnetization ... 0.099 μB/atom
Raw total energy ... -11.22 eV per cell